Record 1
! Li3TaOs (PBE, optimized geometry); values from VASP
&SYSTEM
  ibrav = 0, nat = 5, ntyp = 3
/
ATOMIC_SPECIES
Li 6.94 Li.upf
Ta 180.95 Ta.upf
Os 190.23 Os.upf
CELL_PARAMETERS angstrom
4.3061 0.0000 0.0000
0.0000 4.3061 0.0000
0.0000 0.0000 4.3061
ATOMIC_POSITIONS angstrom
Li 0.0000 0.0000 2.1531
Li 0.0000 2.1531 0.0000
Li 2.1531 0.0000 0.0000
Ta 2.1531 2.1531 2.1531
Os 0.0000 0.0000 0.0000
! Formation energy from the elements = 1.534 eV/atom
! Total magnetic moment = 0.000 μB/atom
! Relative energy among the computed polymorphs = 0 meV/atom
! N(E_F) = 2.532 states/eV/cell

***

Record 2
! LiTe2OsPt (PBE, optimized geometry); values from VASP
&SYSTEM
  ibrav = 0, nat = 5, ntyp = 4
/
ATOMIC_SPECIES
Li 6.94 Li.upf
Te 127.60 Te.upf
Os 190.23 Os.upf
Pt 195.08 Pt.upf
CELL_PARAMETERS angstrom
5.3779 0.0000 0.0000
0.0000 5.3779 0.0000
0.0000 0.0000 4.8810
ATOMIC_POSITIONS angstrom
Li 0.0000 0.0000 0.0000
Te 0.0000 2.6889 2.4405
Te 2.6889 0.0000 2.4405
Os 2.6889 2.6889 0.0000
Pt 2.6889 2.6889 2.4405
! Total magnetic moment = 0.318 μB/atom
! Energy relative to the elements, uncorrected = 0.926 eV/atom
! N(E_F) = 5.924 states/eV/cell

***

Record 3
! RbZrZn2Br (PBE, optimized geometry); values from VASP
&SYSTEM
  ibrav = 0, nat = 5, ntyp = 4
/
ATOMIC_SPECIES
Rb 85.47 Rb.upf
Zr 91.22 Zr.upf
Zn 65.41 Zn.upf
Br 79.90 Br.upf
CELL_PARAMETERS angstrom
5.6167 0.0000 0.0000
0.0000 5.6167 0.0000
0.0000 0.0000 5.8766
ATOMIC_POSITIONS angstrom
Rb 0.0000 0.0000 0.0000
Zr 2.8083 2.8083 0.0000
Zn 0.0000 2.8083 2.9383
Zn 2.8083 0.0000 2.9383
Br 0.0000 0.0000 2.9383
! Total magnetic moment = 0.656 μB/atom
! Energy relative to the elements, uncorrected = 0.899 eV/atom
! N(E_F) = 6.243 states/eV/cell

***

Record 4
! SmPuCdGa (PBE, optimized geometry); values from VASP
&SYSTEM
  ibrav = 0, nat = 4, ntyp = 4
/
ATOMIC_SPECIES
Sm 150.36 Sm.upf
Pu 244.00 Pu.upf
Cd 112.41 Cd.upf
Ga 69.72 Ga.upf
CELL_PARAMETERS angstrom
0.0000 3.7159 3.7159
3.7159 0.0000 3.7159
3.7159 3.7159 0.0000
ATOMIC_POSITIONS angstrom
Sm 0.0000 0.0000 0.0000
Pu 3.7159 3.7159 3.7159
Cd 1.8580 1.8580 1.8580
Ga 5.5739 5.5739 5.5739
! Formation energy from the elements = -0.241 eV/atom
! Total magnetic moment = 1.566 μB/atom
! N(E_F) = 8.035 states/eV/cell

***

Record 5
! Cs2PI6Cl (PBE, optimized geometry); values from VASP
&SYSTEM
  ibrav = 0, nat = 10, ntyp = 4
/
ATOMIC_SPECIES
Cs 132.91 Cs.upf
P 30.97 P.upf
I 126.90 I.upf
Cl 35.45 Cl.upf
CELL_PARAMETERS angstrom
-4.0608 4.0608 6.4018
4.0608 -4.0608 6.4018
4.0608 4.0608 -6.4018
ATOMIC_POSITIONS angstrom
Cs 4.0608 0.0000 3.2009
Cs 0.0000 4.0608 3.2009
P 0.0000 0.0000 0.0000
I 0.0000 0.0000 2.7650
I 1.9168 1.9168 0.0000
I 2.1441 -2.1441 6.4018
I -2.1441 2.1441 6.4018
I 2.1441 2.1441 6.4018
I 0.0000 0.0000 10.0386
Cl 0.0000 0.0000 6.4018
! Total magnetic moment = 0.000 μB/atom
! Energy relative to the elements, uncorrected = -0.612 eV/atom
! N(E_F) = 3.063 states/eV/cell

***

Record 6
! BaReIN2 (PBE, optimized geometry); values from VASP
&SYSTEM
  ibrav = 0, nat = 5, ntyp = 4
/
ATOMIC_SPECIES
Ba 137.33 Ba.upf
Re 186.21 Re.upf
I 126.90 I.upf
N 14.01 N.upf
CELL_PARAMETERS angstrom
4.6824 0.0000 0.0000
0.0000 4.6824 0.0000
0.0000 0.0000 7.0067
ATOMIC_POSITIONS angstrom
Ba 0.0000 0.0000 0.0000
Re 2.3412 2.3412 3.5034
I 0.0000 0.0000 3.5034
N 0.0000 2.3412 0.0000
N 2.3412 0.0000 0.0000
! Total magnetic moment = 1.435 μB/atom
! Energy relative to the elements, uncorrected = 2.395 eV/atom
! Relative energy among the computed polymorphs = 2052 meV/atom
! N(E_F) = 3.892 states/eV/cell

***

Record 7
! Fe2Ir (PBE, optimized geometry); values from VASP
&SYSTEM
  ibrav = 0, nat = 6, ntyp = 2
/
ATOMIC_SPECIES
Fe 55.84 Fe.upf
Ir 192.22 Ir.upf
CELL_PARAMETERS angstrom
4.5798 -1.4225 0.0000
4.5798 1.4225 0.0000
-2.1701 0.0000 5.8735
ATOMIC_POSITIONS angstrom
Fe -0.4202 0.0000 1.3787
Fe 1.0498 0.0000 5.4687
Fe 5.9398 0.0000 0.4048
Fe 7.4098 0.0000 4.4949
Ir 2.2350 0.0000 2.3785
Ir 4.7546 0.0000 3.4951
! Formation energy from the elements = -0.005 eV/atom
! Total magnetic moment = 1.804 μB/atom
! N(E_F) = 6.426 states/eV/cell

***

Record 8
! Nd8Al2Au (PBE, optimized geometry); values from VASP
&SYSTEM
  ibrav = 0, nat = 11, ntyp = 3
/
ATOMIC_SPECIES
Nd 144.24 Nd.upf
Al 26.98 Al.upf
Au 196.97 Au.upf
CELL_PARAMETERS angstrom
9.5844 -2.5981 0.0000
9.5844 2.5981 0.0000
-1.6352 0.0000 6.7277
ATOMIC_POSITIONS angstrom
Nd -0.0496 0.0000 1.8310
Nd 2.6749 0.0000 5.3970
Nd 5.7145 0.0000 3.5575
Nd 7.7037 0.0000 0.2348
Nd 9.8299 0.0000 6.4928
Nd 11.8190 0.0000 3.1702
Nd 14.8587 0.0000 1.3307
Nd 17.5831 0.0000 4.8967
Al 3.1608 0.0000 1.6373
Al 14.3728 0.0000 5.0904
Au 8.7668 0.0000 3.3638
! Formation energy from the elements = -0.248 eV/atom
! Total magnetic moment = 0.000 μB/atom
! Relative energy among the computed polymorphs = 0 meV/atom
! N(E_F) = 11.482 states/eV/cell